A | The following is a PBE-GGA calculation of crystalline PaBS2 at its relaxed geometry, from the Alexandria database.

Cell: 3.1277 3.1277 23.5942 Å, 90.00 90.00 120.00°
Space group R-3m (No. 166, hexagonal axes)
One atom of each set of equivalent atoms:
Pa 0.0000 0.0000 0.0000 [3 per cell]
B 0.0000 0.0000 0.5000 [3 per cell]
S 0.0000 0.0000 0.1163 [6 per cell]

=====

B | The following is a PBE-GGA calculation of crystalline PaBS2 at its relaxed geometry, from the Alexandria database.

Cell: 5.1712 8.7424 6.2394 Å, 90.00 90.00 90.00°
Space group Fmm2 (No. 42)
One atom of each set of equivalent atoms:
Pa 0.0000 0.0000 0.0000 [4 per cell]
B 0.0000 0.0000 0.5895 [4 per cell]
S 0.0000 0.1643 0.3918 [8 per cell]

=====

It turns out B is the most stable, with the second structure 909 meV per atom higher.

=====

A | The following is a PBE-GGA calculation of crystalline ScPaB4 at its relaxed geometry, from the Alexandria database.

Cell: 6.5898 6.5898 6.5898 Å, 90.00 90.00 90.00°
Space group F-43m (No. 216)
One atom of each set of equivalent atoms:
Sc 0.0000 0.0000 0.0000 [4 per cell]
Pa 0.2500 0.2500 0.7500 [4 per cell]
B 0.0958 0.0958 0.4042 [16 per cell]

=====

B | The following is a PBE-GGA calculation of crystalline ScPaB4 at its relaxed geometry, from the Alexandria database.

Cell: 6.1032 11.8184 3.7864 Å, 90.00 90.00 90.00°
Space group Pbam (No. 55)
One atom of each set of equivalent atoms:
Sc 0.1352 0.0878 0.0000 [4 per cell]
Pa 0.1282 0.3487 0.0000 [4 per cell]
B 0.0276 0.8056 0.5000 [4 per cell]
B 0.1170 0.9518 0.5000 [4 per cell]
B 0.1303 0.5305 0.5000 [4 per cell]
B 0.2070 0.6873 0.5000 [4 per cell]

=====

It turns out B is the most stable, with the second structure 861 meV per atom higher.

=====

A | The following is a PBE-GGA calculation of crystalline Pa2SiB3 at its relaxed geometry, from the Alexandria database.

Cell: 3.3819 3.3819 16.6383 Å, 90.00 90.00 120.00°
Space group P6_3/mmc (No. 194)
One atom of each set of equivalent atoms:
Pa 0.0000 0.0000 0.1167 [4 per cell]
Si 0.3333 0.6667 0.2500 [2 per cell]
B 0.3333 0.6667 0.0001 [4 per cell]
B 0.3333 0.6667 0.7500 [2 per cell]

=====

B | The following is a PBE-GGA calculation of crystalline Pa2SiB3 at its relaxed geometry, from the Alexandria database.

Cell: 6.7033 8.4269 11.5855 Å, 90.00 90.00 90.00°
Space group Fmmm (No. 69)
One atom of each set of equivalent atoms:
Pa 0.0000 0.2420 0.0000 [8 per cell]
Pa 0.2500 0.2500 0.2500 [8 per cell]
Si 0.0000 0.0000 0.3349 [8 per cell]
B 0.0000 0.0000 0.1552 [8 per cell]
B 0.2312 0.0000 0.0772 [16 per cell]

=====

It turns out B is the most stable, with the second structure 50 meV per atom higher.

=====

A | The following is a PBE-GGA calculation of crystalline Pa2SiB at its relaxed geometry, from the Alexandria database.

Cell: 7.7987 8.3339 8.4669 Å, 90.00 90.00 90.00°
Space group Fmmm (No. 69)
One atom of each set of equivalent atoms:
Pa 0.1789 0.0000 0.0000 [8 per cell]
Pa 0.2500 0.2500 0.2500 [8 per cell]
Si 0.0000 0.1752 0.5000 [8 per cell]
B 0.0000 0.0000 0.3114 [8 per cell]

=====

B | The following is a PBE-GGA calculation of crystalline Pa2SiB at its relaxed geometry, from the Alexandria database.

Cell: 3.8465 3.8465 19.6423 Å, 90.00 90.00 120.00°
Space group R-3m (No. 166, hexagonal axes)
One atom of each set of equivalent atoms:
Pa 0.0000 0.0000 0.2395 [6 per cell]
Si 0.0000 0.0000 0.0000 [3 per cell]
B 0.0000 0.0000 0.5000 [3 per cell]

=====

It turns out B is the most stable, with the second structure 14 meV per atom higher.

=====

A | The following is a PBE-GGA calculation of crystalline SmPaB4 at its relaxed geometry, from the Alexandria database.

Cell: 3.2508 5.6850 8.0853 Å, 90.00 90.00 90.00°
Space group Immm (No. 71)
One atom of each set of equivalent atoms:
Sm 0.0000 0.0000 0.0000 [2 per cell]
Pa 0.0000 0.0000 0.5000 [2 per cell]
B 0.0000 0.3309 0.2484 [8 per cell]

=====

B | The following is a PBE-GGA calculation of crystalline SmPaB4 at its relaxed geometry, from the Alexandria database.

Cell: 6.8225 6.8225 6.8225 Å, 90.00 90.00 90.00°
Space group F-43m (No. 216)
One atom of each set of equivalent atoms:
Sm 0.0000 0.0000 0.0000 [4 per cell]
Pa 0.2500 0.2500 0.7500 [4 per cell]
B 0.0913 0.0913 0.4087 [16 per cell]

=====

It turns out A is the most stable, with the second structure 831 meV per atom higher.

=====

A | The following is a PBE-GGA calculation of crystalline TbPaB4 at its relaxed geometry, from the Alexandria database.

Cell: 6.7685 6.7685 6.7685 Å, 90.00 90.00 90.00°
Space group F-43m (No. 216)
One atom of each set of equivalent atoms:
Tb 0.0000 0.0000 0.0000 [4 per cell]
Pa 0.2500 0.2500 0.2500 [4 per cell]
B 0.0923 0.0923 0.5923 [16 per cell]

=====

B | The following is a PBE-GGA calculation of crystalline TbPaB4 at its relaxed geometry, from the Alexandria database.

Cell: 3.6270 3.6270 11.4999 Å, 90.00 90.00 90.00°
Space group I-4m2 (No. 119)
One atom of each set of equivalent atoms:
Tb 0.0000 0.0000 0.0000 [2 per cell]
Pa 0.0000 0.5000 0.2500 [2 per cell]
B 0.0000 0.0000 0.4209 [4 per cell]
B 0.0000 0.5000 0.6718 [4 per cell]

=====

It turns out B is the most stable, with the second structure 732 meV per atom higher.

=====

A | The following is a PBE-GGA calculation of crystalline PaTcB3 at its relaxed geometry, from the Alexandria database.

Cell: 3.8911 18.6079 3.1260 Å, 90.00 90.00 90.00°
Space group Cmcm (No. 63)
One atom of each set of equivalent atoms:
Pa 0.0000 0.0738 0.2500 [4 per cell]
Tc 0.0000 0.2033 0.7500 [4 per cell]
B 0.0000 0.3219 0.7500 [4 per cell]
B 0.0000 0.3701 0.2500 [4 per cell]
B 0.0000 0.4750 0.2500 [4 per cell]

=====

B | The following is a PBE-GGA calculation of crystalline PaTcB3 at its relaxed geometry, from the Alexandria database.

Cell: 3.4849 3.4849 9.8677 Å, 90.00 90.00 90.00°
Space group I4mm (No. 107)
One atom of each set of equivalent atoms:
Pa 0.0000 0.0000 0.0000 [2 per cell]
Tc 0.0000 0.0000 0.6662 [2 per cell]
B 0.0000 0.0000 0.4027 [2 per cell]
B 0.0000 0.5000 0.3058 [4 per cell]

=====

It turns out A is the most stable, with the second structure 403 meV per atom higher.

=====

A | The following is a PBE-GGA calculation of crystalline PaTc4B4 at its relaxed geometry, from the Alexandria database.

Cell: 7.3866 7.3866 4.2251 Å, 90.00 90.00 90.00°
Space group P4_2/n (No. 86, origin choice 2)
One atom of each set of equivalent atoms:
Pa 0.2500 0.2500 0.2500 [2 per cell]
Tc 0.1138 0.6301 0.1299 [8 per cell]
B 0.0513 0.9206 0.1277 [8 per cell]

=====

B | The following is a PBE-GGA calculation of crystalline PaTc4B4 at its relaxed geometry, from the Alexandria database.

Cell: 5.3998 5.3998 7.4897 Å, 90.00 90.00 90.00°
Space group P4_2/nmc (No. 137, origin choice 2)
One atom of each set of equivalent atoms:
Pa 0.2500 0.7500 0.2500 [2 per cell]
Tc 0.0056 0.7500 0.6053 [8 per cell]
B 0.0850 0.2500 0.1080 [8 per cell]

=====

It turns out B is the most stable, with the second structure 19 meV per atom higher.